Entry 1:
First-principles (PBE-GGA) data for an optimized crystal structure of YErF, as listed in Alexandria.

a b c (Å): 3.6817 3.6817 5.6081
angles (deg): 90.00 90.00 120.00
Positions (direct):
Y (0.6667, 0.3333, 0.4049)
F (0.3333, 0.6667, 0.6703)
Er (0.0000, 0.0000, 0.9247)

Results
crystal system = trigonal
total magnetic moment = 0.00 μB per formula unit
formation energy without anion corrections = -1.540 eV/atom
space group = P3m1 (156)
offset from the most stable computed form = 14 meV/atom
total energy = -5.84 eV per atom



Entry 2:
First-principles (PBE-GGA) data for an optimized crystal structure of Y3ErF, as listed in Alexandria.

a b c (Å): 5.0502 5.0502 5.0502
angles (deg): 90.00 90.00 90.00
Positions (direct):
Y (0.0000, 0.5000, 0.0000)
Y (0.0000, 0.0000, 0.5000)
Y (0.5000, 0.0000, 0.0000)
F (0.0000, 0.0000, 0.0000)
Er (0.5000, 0.5000, 0.5000)

Results
crystal system = cubic
total magnetic moment = 0.00 μB per formula unit
formation energy without anion corrections = -0.914 eV/atom
space group = Pm-3m (221)
total energy = -6.08 eV per atom



Entry 3:
First-principles (PBE-GGA) data for an optimized crystal structure of YEr2F8, as listed in Alexandria.

a b c (Å): 4.1880 6.1507 6.1507
angles (deg): 112.39 96.47 96.47
Each line ends with the local moment (μB).
Positions (direct):
Y (0.5000, 0.0000, 0.0000)  -0.58
Er (0.0000, 0.3195, 0.6805)  -0.04
Er (0.0000, 0.6805, 0.3195)  -0.04
F (0.8944, 0.9429, 0.6656)  -0.01
F (0.8944, 0.6656, 0.9429)  -0.01
F (0.2881, 0.6294, 0.6294)  0.00
F (0.5000, 0.7602, 0.2398)  0.00
F (0.5000, 0.2398, 0.7602)  0.00
F (0.7119, 0.3706, 0.3706)  0.00
F (0.1056, 0.3344, 0.0571)  -0.01
F (0.1056, 0.0571, 0.3344)  -0.01

Results
crystal system = monoclinic
total magnetic moment = 0.99 μB per formula unit
formation energy without anion corrections = -3.817 eV/atom
space group = C2/m (12)
total energy = -6.60 eV per atom



Entry 4:
First-principles (PBE-GGA) data for an optimized crystal structure of ErZnF, as listed in Alexandria.

a b c (Å): 3.4110 3.4160 13.7611
angles (deg): 90.00 90.00 119.95
Each line ends with the local moment (μB).
Positions (direct):
Zn (0.5935, 0.1870, 0.0000)  0.03
Zn (0.3626, 0.7253, 0.5000)  0.00
F (0.5943, 0.1885, 0.2597)  -0.01
F (0.5943, 0.1885, 0.7403)  -0.01
Er (0.2610, 0.5219, 0.8343)  -0.25
Er (0.2610, 0.5219, 0.1657)  -0.25

Results
crystal system = orthorhombic
total magnetic moment = 0.29 μB per formula unit
formation energy without anion corrections = -1.478 eV/atom
space group = Amm2 (38)
total energy = -4.05 eV per atom